A plane-wave DFT calculation with PBE was carried out for an optimized crystal structure of Sr3Li2PaO6.

## Properties
- E_tot (eV/atom) = -6.614
- space group = P-3m1
- formation energy without anion corrections (eV/atom) = -2.60
- mass density (g/cm³) = 4.8

Structure (CIF):
```
data_Sr3Li2PaO6
_chemical_formula_sum 'Sr3 Li2 Pa1 O6'
_cell_length_a 6.016
_cell_length_b 6.016
_cell_length_c 6.730
_cell_angle_alpha 90.00
_cell_angle_beta 90.00
_cell_angle_gamma 120.00
_symmetry_space_group_name_H-M 'P 1'
_symmetry_Int_Tables_number 1
loop_
_symmetry_equiv_pos_as_xyz
'x,y,z'
loop_
_atom_site_label
_atom_site_fract_x
_atom_site_fract_y
_atom_site_fract_z
_atom_site_occupancy
Sr1 0.333 0.667 0.616 1
Sr2 0.667 0.333 0.384 1
Sr3 0.000 0.000 0.000 1
Li1 0.667 0.333 0.809 1
Li2 0.333 0.667 0.191 1
Pa1 0.000 0.000 0.500 1
O1 0.665 0.832 0.308 1
O2 0.168 0.335 0.308 1
O3 0.168 0.832 0.308 1
O4 0.832 0.665 0.692 1
O5 0.335 0.168 0.692 1
O6 0.832 0.168 0.692 1
```